Density functional theory data (PBE) for a relaxed structure of Cs3Ag4Te4.

space group: Immm, No. 71
calculated total energy: -31.29 eV per cell
D(E_F): 1.92 states/eV per cell
size of the total moment: 0.000 μB/f.u.
formation energy from raw total energies: -0.43 eV per atom

Geometry as extended XYZ:
```
11
Lattice="-2.905 3.720 8.353 2.905 -3.720 8.353 2.905 3.720 -8.353" Properties=species:S:1:pos:R:3 pbc="T T T"
Cs 0.000 0.000 0.000
Cs 2.905 0.000 6.274
Cs 0.000 3.720 2.078
Ag 2.905 1.435 -2.805
Ag 2.905 1.435 2.805
Ag 0.000 2.285 5.548
Ag 0.000 2.285 11.157
Te 0.000 0.000 3.744
Te 2.905 2.181 0.000
Te 0.000 1.539 8.353
Te 0.000 0.000 12.961
```

---

Density functional theory data (PBE) for a relaxed structure of CsAgTe2.

space group: Pna2_1, No. 33
calculated total energy: -46.93 eV per cell
D(E_F): 0.00 states/eV per cell
size of the total moment: 0.000 μB/f.u.
formation energy from raw total energies: -0.44 eV per atom

Geometry as extended XYZ:
```
16
Lattice="6.836 0.000 0.000 0.000 12.221 0.000 0.000 0.000 7.198" Properties=species:S:1:pos:R:3 pbc="T T T"
Cs 0.447 1.943 0.000
Cs 2.971 8.054 3.599
Cs 3.865 4.168 0.000
Cs 6.388 10.278 3.599
Ag 1.477 7.598 0.131
Ag 1.941 1.487 3.730
Ag 4.895 10.734 0.131
Ag 5.359 4.624 3.730
Te 0.677 5.511 5.410
Te 0.897 10.397 7.178
Te 2.521 4.286 3.579
Te 2.741 11.621 1.811
Te 4.095 0.600 5.410
Te 4.315 7.935 7.178
Te 5.939 1.824 3.579
Te 6.159 6.710 1.811
```

---

Density functional theory data (PBE) for a relaxed structure of CsAg4Te2.

space group: R-3m, No. 166
calculated total energy: -19.86 eV per cell
D(E_F): 2.46 states/eV per cell
size of the total moment: 0.000 μB/f.u.
formation energy from raw total energies: -0.19 eV per atom

Geometry as extended XYZ:
```
7
Lattice="2.504 1.446 9.533 -2.504 1.446 9.533 0.000 -2.891 9.533" Properties=species:S:1:pos:R:3 pbc="T T T"
Cs 0.000 0.000 0.000
Ag 0.000 0.000 3.891
Ag 0.000 0.000 12.773
Ag 0.000 0.000 15.827
Ag 0.000 0.000 24.709
Te 0.000 0.000 6.810
Te 0.000 0.000 21.789
```

---

Density functional theory data (PBE) for a relaxed structure of CsAg8Te6.

space group: R-3, No. 148
calculated total energy: -44.35 eV per cell
D(E_F): 11.89 states/eV per cell
size of the total moment: 0.000 μB/f.u.
formation energy from raw total energies: -0.12 eV per atom

Geometry as extended XYZ:
```
15
Lattice="3.826 2.209 9.956 -3.826 2.209 9.956 0.000 -4.418 9.956" Properties=species:S:1:pos:R:3 pbc="T T T"
Cs 0.000 0.000 0.000
Ag -2.707 -0.661 15.613
Ag -0.781 -2.675 14.254
Ag -1.926 2.014 14.254
Ag 0.000 0.000 13.288
Ag 0.000 0.000 16.579
Ag 1.926 -2.014 15.613
Ag 0.781 2.675 15.613
Ag 2.707 0.661 14.254
Te -2.702 -0.285 12.759
Te -1.104 -2.482 17.108
Te 1.597 -2.197 12.759
Te -1.597 2.197 17.108
Te 1.104 2.482 12.759
Te 2.702 0.285 17.108
```

---

Density functional theory data (PBE) for a relaxed structure of CsAg4Te2.

space group: Cmmm, No. 65
calculated total energy: -20.50 eV per cell
D(E_F): 1.70 states/eV per cell
size of the total moment: 0.000 μB/f.u.
formation energy from raw total energies: -0.28 eV per atom

Geometry as extended XYZ:
```
7
Lattice="2.334 -9.071 0.000 2.334 9.071 0.000 0.000 0.000 4.729" Properties=species:S:1:pos:R:3 pbc="T T T"
Cs 0.000 0.000 0.000
Ag 2.334 5.389 2.364
Ag 2.334 3.612 0.000
Ag 2.334 -3.612 0.000
Ag 2.334 -5.389 2.364
Te 2.334 2.058 2.364
Te 2.334 -2.058 2.364
```

---

Density functional theory data (PBE) for a relaxed structure of Cs2AgTe3.

space group: Pnma, No. 62
calculated total energy: -69.76 eV per cell
D(E_F): 23.88 states/eV per cell
size of the total moment: 0.000 μB/f.u.
formation energy from raw total energies: -0.58 eV per atom

Geometry as extended XYZ:
```
24
Lattice="8.623 0.000 0.000 0.000 5.027 0.000 0.000 0.000 24.290" Properties=species:S:1:pos:R:3 pbc="T T T"
Cs 1.467 1.257 1.753
Cs 2.103 3.770 19.464
Cs 2.209 1.257 7.319
Cs 2.844 3.770 13.898
Cs 5.779 1.257 10.392
Cs 6.415 3.770 16.971
Cs 6.520 1.257 4.826
Cs 7.156 3.770 22.537
Ag 0.234 3.770 10.939
Ag 4.077 1.257 23.084
Ag 4.546 3.770 1.206
Ag 8.389 1.257 13.351
Te 0.745 1.257 16.080
Te 0.932 3.770 4.755
Te 1.599 1.257 11.127
Te 2.712 3.770 23.272
Te 3.379 1.257 16.900
Te 3.566 3.770 3.935
Te 5.057 1.257 20.355
Te 5.244 3.770 7.390
Te 5.911 1.257 1.018
Te 7.024 3.770 13.163
Te 7.691 1.257 19.535
Te 7.878 3.770 8.210
```

---

Density functional theory data (PBE) for a relaxed structure of Cs2AgTe2.

space group: C2/m, No. 12
calculated total energy: -28.85 eV per cell
size of the total moment: 0.000 μB/f.u.
formation energy from raw total energies: -0.72 eV per atom

Geometry as extended XYZ:
```
10
Lattice="7.024 -2.491 0.000 7.024 2.491 0.000 -3.512 0.000 13.175" Properties=species:S:1:pos:R:3 pbc="T T T"
Cs -0.966 0.000 4.390
Cs 2.150 0.000 1.390
Cs 8.386 0.000 11.784
Cs 11.502 0.000 8.785
Ag 1.356 0.000 7.288
Ag 9.180 0.000 5.887
Te 3.200 0.000 5.044
Te 6.223 0.000 1.165
Te 4.313 0.000 12.009
Te 7.336 0.000 8.130
```

---

Density functional theory data (PBE) for a relaxed structure of CsAgTe2.

space group: P-1, No. 2
calculated total energy: -23.89 eV per cell
D(E_F): 0.03 states/eV per cell
size of the total moment: 0.000 μB/f.u.
formation energy from raw total energies: -0.49 eV per atom

Geometry as extended XYZ:
```
8
Lattice="5.034 0.000 0.000 2.146 6.577 0.000 1.768 0.642 9.108" Properties=species:S:1:pos:R:3 pbc="T T T"
Cs 0.947 1.333 1.843
Cs 8.000 5.886 7.265
Ag 3.180 3.873 3.693
Ag 5.767 3.346 5.415
Te 3.312 1.601 5.354
Te 3.850 4.278 0.993
Te 5.097 2.941 8.116
Te 5.635 5.618 3.754
```

---

Density functional theory data (PBE) for a relaxed structure of CsAg3Te3.

space group: R-3, No. 148
calculated total energy: -41.23 eV per cell
D(E_F): 9.55 states/eV per cell
size of the total moment: 0.000 μB/f.u.
formation energy from raw total energies: -0.25 eV per atom

Geometry as extended XYZ:
```
14
Lattice="3.853 2.225 9.767 -3.853 2.225 9.767 0.000 -4.449 9.767" Properties=species:S:1:pos:R:3 pbc="T T T"
Cs 0.000 0.000 4.889
Cs 0.000 0.000 24.412
Ag -2.621 -0.009 10.622
Ag -1.303 -2.275 18.679
Ag 1.318 -2.266 10.622
Ag -1.318 2.266 18.679
Ag 1.303 2.275 10.622
Ag 2.621 0.009 18.679
Te -1.253 -2.182 11.785
Te -2.516 -0.006 17.516
Te -1.263 2.176 11.785
Te 1.263 -2.176 17.516
Te 2.516 0.006 11.785
Te 1.253 2.182 17.516
```

---

Density functional theory data (PBE) for a relaxed structure of CsAgTe2.

space group: Cc, No. 9
calculated total energy: -23.54 eV per cell
D(E_F): 0.00 states/eV per cell
size of the total moment: 0.000 μB/f.u.
formation energy from raw total energies: -0.45 eV per atom

Geometry as extended XYZ:
```
8
Lattice="3.610 -5.824 0.000 3.610 5.824 0.000 -1.601 0.000 7.167" Properties=species:S:1:pos:R:3 pbc="T T T"
Cs 2.809 5.025 3.584
Cs 3.610 -5.025 0.000
Ag 3.595 1.533 1.611
Ag 2.794 -1.533 5.194
Te 1.402 2.814 6.308
Te 2.839 1.182 4.390
Te 3.639 -1.182 0.806
Te 2.203 -2.814 2.724
```

---

Density functional theory data (PBE) for a relaxed structure of CsAg4Te4.

space group: I4/m, No. 87
calculated total energy: -26.71 eV per cell
D(E_F): 4.07 states/eV per cell
size of the total moment: 0.000 μB/f.u.
formation energy from raw total energies: -0.21 eV per atom

Geometry as extended XYZ:
```
9
Lattice="-5.076 5.076 2.830 5.076 -5.076 2.830 5.076 5.076 -2.830" Properties=species:S:1:pos:R:3 pbc="T T T"
Cs 0.000 0.000 0.000
Ag 6.115 2.063 0.000
Ag 2.063 4.036 0.000
Ag 3.013 1.039 2.830
Ag -1.039 3.013 2.830
Te 3.403 1.597 0.000
Te 3.479 -1.673 2.830
Te 1.597 6.749 0.000
Te 1.673 3.479 2.830
```

---

Density functional theory data (PBE) for a relaxed structure of CsAgTe2.

space group: Cmmm, No. 65
calculated total energy: -11.76 eV per cell
D(E_F): 2.08 states/eV per cell
size of the total moment: 0.000 μB/f.u.
formation energy from raw total energies: -0.44 eV per atom

Geometry as extended XYZ:
```
4
Lattice="3.241 -4.552 0.000 3.241 4.552 0.000 0.000 0.000 5.876" Properties=species:S:1:pos:R:3 pbc="T T T"
Cs 0.000 0.000 0.000
Ag 3.241 0.000 2.938
Te 1.621 2.276 2.938
Te 1.621 -2.276 2.938
```

---

Which value of calculated total energy does entry 6 give?
-69.76 eV per cell